VASP calculation (PBE) on a geometry-optimized TmPd2Au6 structure.

The structure in extended XYZ format:
```
9
Lattice="4.7132 -2.0655 0.0000 4.7132 2.0655 0.0000 -2.8269 0.0000 8.3417" Properties=species:S:1:pos:R:3 pbc="T T T"
Tm 0.0000 0.0000 0.0000
Pd 0.9611 0.0000 6.4903
Pd 5.6385 0.0000 1.8514
Au -1.8707 0.0000 5.5773
Au 2.8029 0.0000 0.9600
Au 1.8751 0.0000 3.7445
Au 4.7245 0.0000 4.5972
Au 3.7968 0.0000 7.3818
Au 8.4703 0.0000 2.7644
```

Summary:
Energy above the most stable polymorph in this dataset, meV/atom: 6
Crystal system: monoclinic
Energy of formation from the pure elements, kcal/mol of atoms: -9.0